Entry 1:
Material: Ti5Ir4Rh
Method: DFT, GGA-PBE
State: optimized geometry

Cell lengths 2.9222, 2.9222, 17.6780 Å; angles 90.00, 90.00, 90.00 degrees
Sites, in units of the cell vectors:
Ti 0.5000 0.5000 0.7004
Ti 0.5000 0.5000 0.9002
Ti 0.5000 0.5000 0.0998
Ti 0.5000 0.5000 0.5000
Ti 0.5000 0.5000 0.2996
Ir 0.0000 0.0000 0.8007
Ir 0.0000 0.0000 0.6008
Ir 0.0000 0.0000 0.1993
Ir 0.0000 0.0000 0.3992
Rh 0.0000 0.0000 0.0000

Computed properties:
- theoretical density (g/cm³) = 12.2
- density of states at the Fermi level (states/eV per cell) = 8.798
- crystal system = tetragonal
- magnetic moment (μB/f.u.) = 0.00
- formation enthalpy at 0 K (eV per atom) = -0.827



Entry 2:
Material: Ti6IrRh
Method: DFT, GGA-PBE
State: optimized geometry

Cell lengths 4.5113, 5.4584, 5.4584 Å; angles 111.52, 90.00, 90.00 degrees
Each line ends with the local moment (μB).
Sites, in units of the cell vectors:
Ti 0.5000 0.5000 0.0000  0.14
Ti 0.0000 0.7512 0.7512  0.15
Ti 0.0000 0.2488 0.2488  0.15
Ti 0.0000 0.7523 0.2477  0.28
Ti 0.5000 0.0000 0.5000  0.14
Ti 0.0000 0.2477 0.7523  0.28
Ir 0.5000 0.0000 0.0000  -0.01
Rh 0.5000 0.5000 0.5000  -0.01

Computed properties:
- theoretical density (g/cm³) = 7.7
- density of states at the Fermi level (states/eV per cell) = 14.048
- crystal system = orthorhombic
- magnetic moment (μB/f.u.) = 1.45
- formation enthalpy at 0 K (eV per atom) = -0.453



Entry 3:
Material: Ti8Ir2Rh
Method: DFT, GGA-PBE
State: optimized geometry

Cell lengths 4.3826, 6.0969, 7.5562 Å; angles 109.10, 106.86, 90.00 degrees
Sites, in units of the cell vectors:
Ti 0.0167 0.7473 0.0335
Ti 0.5937 0.4508 0.1874
Ti 0.3361 0.0641 0.6722
Ti 0.6639 0.9359 0.3278
Ti 0.1852 0.2736 0.3704
Ti 0.9833 0.2527 0.9665
Ti 0.4063 0.5492 0.8126
Ti 0.8148 0.7264 0.6296
Ir 0.8146 0.3077 0.6291
Ir 0.1854 0.6923 0.3709
Rh 0.5000 0.0000 0.0000

Computed properties:
- theoretical density (g/cm³) = 8.0
- density of states at the Fermi level (states/eV per cell) = 13.420
- crystal system = monoclinic
- magnetic moment (μB/f.u.) = 0.00
- formation enthalpy at 0 K (eV per atom) = -0.457



Entry 4:
Material: Ti6IrRh5
Method: DFT, GGA-PBE
State: optimized geometry

Cell lengths 4.1761, 6.8940, 7.4411 Å; angles 117.60, 106.28, 90.00 degrees
Sites, in units of the cell vectors:
Ti 0.8337 0.0834 0.6676
Ti 0.8337 0.5842 0.6675
Ti 0.1663 0.9166 0.3324
Ti 0.1663 0.4158 0.3325
Ti 0.5000 0.7509 0.0000
Ti 0.5000 0.2491 0.0000
Ir 0.0000 0.0000 0.0000
Rh 0.3338 0.3339 0.6678
Rh 0.6662 0.6661 0.3322
Rh 0.0000 0.5000 0.0000
Rh 0.6679 0.1679 0.3357
Rh 0.3321 0.8321 0.6643

Computed properties:
- theoretical density (g/cm³) = 9.2
- density of states at the Fermi level (states/eV per cell) = 13.521
- crystal system = orthorhombic
- magnetic moment (μB/f.u.) = 0.00
- formation enthalpy at 0 K (eV per atom) = -0.766



Entry 5:
Material: Ti3IrRh2
Method: DFT, GGA-PBE
State: optimized geometry

Cell lengths 2.9585, 2.9585, 10.2892 Å; angles 90.00, 90.00, 90.00 degrees
Sites, in units of the cell vectors:
Rh 0.5000 0.5000 0.8316
Rh 0.5000 0.5000 0.1684
Ti 0.0000 0.0000 0.6669
Ti 0.0000 0.0000 0.0000
Ti 0.0000 0.0000 0.3331
Ir 0.5000 0.5000 0.5000

Computed properties:
- theoretical density (g/cm³) = 10.0
- density of states at the Fermi level (states/eV per cell) = 8.878
- distance to the lowest polymorph of the same formula (eV per formula unit) = 0.000
- crystal system = tetragonal
- magnetic moment (μB/f.u.) = 0.00
- formation enthalpy at 0 K (eV per atom) = -0.770



Entry 6:
Material: Ti2IrRh3
Method: DFT, GGA-PBE
State: optimized geometry

Cell lengths 5.5251, 5.5230, 7.2661 Å; angles 112.34, 112.35, 90.00 degrees
Sites, in units of the cell vectors:
Ti 0.8861 0.6415 0.2830
Ti 0.6031 0.8585 0.7170
Ti 0.3969 0.1415 0.2830
Ti 0.1139 0.3585 0.7170
Rh 0.5000 0.2500 0.0000
Rh 0.9211 0.1653 0.3305
Rh 0.5906 0.3347 0.6695
Rh 0.0789 0.8347 0.6695
Rh 0.4094 0.6653 0.3305
Rh 0.5000 0.7500 0.0000
Ir 0.0000 0.7500 0.0000
Ir 0.0000 0.2500 0.0000

Computed properties:
- theoretical density (g/cm³) = 10.6
- density of states at the Fermi level (states/eV per cell) = 11.691
- crystal system = orthorhombic
- magnetic moment (μB/f.u.) = 0.00
- formation enthalpy at 0 K (eV per atom) = -0.460